Here is Ho2Ga3Cu4Pd after structural relaxation from the Alexandria database. Energies are from PBE.

POSCAR file:
```
Ho2Ga3Cu4Pd
1.0
3.950 0.000 0.000
0.000 3.950 0.000
0.000 0.000 10.972
Ho Ga Cu Pd
2 3 4 1
Cartesian
1.975 0.000 2.781
0.000 1.975 8.191
0.000 0.000 5.486
1.975 0.000 9.508
0.000 1.975 1.463
1.975 1.975 0.000
0.000 0.000 0.000
1.975 0.000 7.117
0.000 1.975 3.855
1.975 1.975 5.486
```

Values from the calculation:
Calculated total energy: -44.0 eV per formula unit
Total magnetization: 0.0 Bohr magnetons per cell
Density of states at the Fermi level: 6.13 states/eV/cell
Formation enthalpy at 0 K: -0.42 eV/atom